No. 1
Material: TiHS2N
Method: DFT, PBE-GGA
State: relaxed

Computed properties:
**Space-group type**: P4/mmm (123)
**ΔE to the lowest computed polymorph**: 0 meV/atom
**Fermi-level density of states**: 0.885 states/eV per atom
**Calculated density**: 2.4 Mg/m³

Unit cell a=4.7317 b=4.7317 c=3.9357 alpha=90.00 beta=90.00 gamma=90.00
With the nearest neighbours (Å) after each atom.
Sites, in units of the cell vectors:
Ti 0.0000 0.0000 0.0000  2 N 1.97
H 0.5000 0.5000 0.5000  8 S 3.08, 4 N 3.35
S 0.0000 0.5000 0.0000  2 Ti 2.37
S 0.5000 0.0000 0.0000  2 Ti 2.37
N 0.0000 0.0000 0.5000  2 Ti 1.97

No. 2
Material: TiHS2N
Method: DFT, PBE-GGA
State: relaxed

Computed properties:
**Space-group type**: P4/mmm (123)
**ΔE to the lowest computed polymorph**: 64 meV/atom
**Fermi-level density of states**: 0.800 states/eV per atom
**Calculated density**: 3.8 Mg/m³

Unit cell a=4.5155 b=4.5155 c=2.7284 alpha=90.00 beta=90.00 gamma=90.00
With the nearest neighbours (Å) after each atom.
Sites, in units of the cell vectors:
Ti 0.0000 0.0000 0.0000  8 S 2.64, 2 Ti 2.73
H 0.5000 0.5000 0.5000  2 N 1.36
S 0.0000 0.5000 0.5000  2 H 2.26
S 0.5000 0.0000 0.5000  2 H 2.26
N 0.5000 0.5000 0.0000  2 H 1.36

No. 3
Material: TlHSN2
Method: DFT, PBE-GGA
State: relaxed

Computed properties:
**Space-group type**: P4/mmm (123)
**ΔE to the lowest computed polymorph**: 439 meV/atom
**Fermi-level density of states**: 0.345 states/eV per atom
**Calculated density**: 3.8 Mg/m³

Unit cell a=4.7004 b=4.7004 c=5.2654 alpha=90.00 beta=90.00 gamma=90.00
With the nearest neighbours (Å) after each atom.
Sites, in units of the cell vectors:
Tl 0.0000 0.0000 0.0000  4 N 2.35
H 0.5000 0.5000 0.5000  4 S 3.32, 8 N 3.53
S 0.0000 0.0000 0.5000  2 Tl 2.63
N 0.0000 0.5000 0.0000  2 Tl 2.35
N 0.5000 0.0000 0.0000  2 Tl 2.35

No. 4
Material: Tl2HSN
Method: DFT, PBE-GGA
State: relaxed

Computed properties:
**Space-group type**: P4/mmm (123)
**Fermi-level density of states**: 0.355 states/eV per atom
**Calculated density**: 6.8 Mg/m³
**E**: -3.20 eV/atom

Unit cell a=5.9006 b=5.9006 c=3.2198 alpha=90.00 beta=90.00 gamma=90.00
With the nearest neighbours (Å) after each atom.
Sites, in units of the cell vectors:
Tl 0.0000 0.5000 0.0000  2 S 2.95, 2 Tl 3.22
Tl 0.5000 0.0000 0.0000  2 S 2.95, 2 Tl 3.22
H 0.0000 0.0000 0.5000  2 S 1.61
S 0.0000 0.0000 0.0000  2 H 1.61
N 0.5000 0.5000 0.5000  2 N 3.22, 8 Tl 3.36

No. 5
Material: TlHSN2
Method: DFT, PBE-GGA
State: relaxed

Computed properties:
**Space-group type**: P4/mmm (123)
**ΔE to the lowest computed polymorph**: 0 meV/atom
**Fermi-level density of states**: 0.544 states/eV per atom
**Calculated density**: 7.4 Mg/m³

Unit cell a=4.3267 b=4.3267 c=3.1640 alpha=90.00 beta=90.00 gamma=90.00
With the nearest neighbours (Å) after each atom.
Sites, in units of the cell vectors:
Tl 0.0000 0.0000 0.0000  8 N 2.68
H 0.5000 0.5000 0.5000  2 S 1.58
S 0.5000 0.5000 0.0000  2 H 1.58
N 0.0000 0.5000 0.5000  2 H 2.16
N 0.5000 0.0000 0.5000  2 H 2.16

No. 6
Material: TlHS2N
Method: DFT, PBE-GGA
State: relaxed

Computed properties:
**Space-group type**: P4/mmm (123)
**ΔE to the lowest computed polymorph**: 0 meV/atom
**Fermi-level density of states**: 0.487 states/eV per atom
**Calculated density**: 5.2 Mg/m³

Unit cell a=3.5061 b=3.5061 c=7.3257 alpha=90.00 beta=90.00 gamma=90.00
With the nearest neighbours (Å) after each atom.
Sites, in units of the cell vectors:
Tl 0.0000 0.0000 0.0000  4 N 2.48
H 0.5000 0.5000 0.5000  4 S 1.75
S 0.0000 0.5000 0.5000  2 H 1.75
S 0.5000 0.0000 0.5000  2 H 1.75
N 0.5000 0.5000 0.0000  4 Tl 2.48

No. 7
Material: TlHS2N
Method: DFT, PBE-GGA
State: relaxed

Computed properties:
**Space-group type**: P4/mmm (123)
**ΔE to the lowest computed polymorph**: 728 meV/atom
**Fermi-level density of states**: 0.571 states/eV per atom
**Calculated density**: 3.6 Mg/m³

Unit cell a=5.3344 b=5.3344 c=4.6181 alpha=90.00 beta=90.00 gamma=90.00
With the nearest neighbours (Å) after each atom.
Sites, in units of the cell vectors:
Tl 0.0000 0.0000 0.0000  2 N 2.31
H 0.5000 0.5000 0.5000  8 S 3.53, 4 N 3.77
S 0.0000 0.5000 0.0000  2 Tl 2.67
S 0.5000 0.0000 0.0000  2 Tl 2.67
N 0.0000 0.0000 0.5000  2 Tl 2.31

No. 8
Material: VHS2N
Method: DFT, PBE-GGA
State: relaxed

Computed properties:
**Space-group type**: P4/mmm (123)
**ΔE to the lowest computed polymorph**: 0 meV/atom
**Fermi-level density of states**: 0.512 states/eV per atom
**Calculated density**: 2.7 Mg/m³

Unit cell a=4.6223 b=4.6223 c=3.6954 alpha=90.00 beta=90.00 gamma=90.00
With the nearest neighbours (Å) after each atom.
Sites, in units of the cell vectors:
V 0.0000 0.0000 0.0000  2 N 1.85
H 0.5000 0.5000 0.5000  8 S 2.96, 4 N 3.27
S 0.0000 0.5000 0.0000  2 V 2.31
S 0.5000 0.0000 0.0000  2 V 2.31
N 0.0000 0.0000 0.5000  2 V 1.85

No. 9
Material: VHS2N
Method: DFT, PBE-GGA
State: relaxed

Computed properties:
**Space-group type**: P4/mmm (123)
**ΔE to the lowest computed polymorph**: 334 meV/atom
**Fermi-level density of states**: 0.804 states/eV per atom
**Calculated density**: 3.0 Mg/m³

Unit cell a=3.2387 b=3.2387 c=6.8787 alpha=90.00 beta=90.00 gamma=90.00
With the nearest neighbours (Å) after each atom.
Sites, in units of the cell vectors:
V 0.0000 0.0000 0.0000  4 N 2.29
H 0.5000 0.5000 0.5000  4 S 1.62
S 0.0000 0.5000 0.5000  2 H 1.62
S 0.5000 0.0000 0.5000  2 H 1.62
N 0.5000 0.5000 0.0000  4 V 2.29

No. 10
Material: HWS2N
Method: DFT, PBE-GGA
State: relaxed

Computed properties:
**Space-group type**: P4/mmm (123)
**ΔE to the lowest computed polymorph**: 687 meV/atom
**Fermi-level density of states**: 0.428 states/eV per atom
**Calculated density**: 8.1 Mg/m³

Unit cell a=3.3221 b=3.3221 c=4.8783 alpha=90.00 beta=90.00 gamma=90.00
With the nearest neighbours (Å) after each atom.
Sites, in units of the cell vectors:
H 0.0000 0.0000 0.0000  4 S 1.66
W 0.5000 0.5000 0.5000  4 N 2.35
S 0.0000 0.5000 0.0000  2 H 1.66
S 0.5000 0.0000 0.0000  2 H 1.66
N 0.0000 0.0000 0.5000  4 W 2.35, 2 H 2.44

No. 11
Material: H8WS4N2
Method: DFT, PBE-GGA
State: relaxed

Computed properties:
**Space-group type**: Pnma (62)
**Fermi-level density of states**: 0.000 states/eV per atom
**Calculated density**: 2.6 Mg/m³
**E**: -5.31 eV/atom

Unit cell a=9.6231 b=7.2545 c=12.9365 alpha=90.00 beta=90.00 gamma=90.00
With the nearest neighbours (Å) after each atom.
Sites, in units of the cell vectors:
H 0.0139 0.2500 0.1523  1 N 1.05
H 0.0850 0.7500 0.7378  1 N 1.03
H 0.1345 0.2500 0.6759  1 N 1.04
H 0.1422 0.6344 0.8417  1 N 1.04
H 0.1422 0.8656 0.8417  1 N 1.04
H 0.1629 0.1343 0.5631  1 N 1.04
H 0.1629 0.3657 0.5631  1 N 1.04
H 0.2053 0.7500 0.1206  1 N 1.04
H 0.2947 0.2500 0.6206  1 N 1.04
H 0.3371 0.6343 0.0631  1 N 1.04
H 0.3371 0.8657 0.0631  1 N 1.04
H 0.3578 0.1344 0.3417  1 N 1.04
H 0.3578 0.3656 0.3417  1 N 1.04
H 0.3655 0.7500 0.1759  1 N 1.04
H 0.4150 0.2500 0.2378  1 N 1.03
H 0.4861 0.7500 0.6523  1 N 1.05
H 0.5139 0.2500 0.3477  1 N 1.05
H 0.5850 0.7500 0.7622  1 N 1.03
H 0.6345 0.2500 0.8241  1 N 1.04
H 0.6422 0.6344 0.6583  1 N 1.04
H 0.6422 0.8656 0.6583  1 N 1.04
H 0.6629 0.1343 0.9369  1 N 1.04
H 0.6629 0.3657 0.9369  1 N 1.04
H 0.7053 0.7500 0.3794  1 N 1.04
H 0.7947 0.2500 0.8794  1 N 1.04
H 0.8371 0.6343 0.4369  1 N 1.04
H 0.8371 0.8657 0.4369  1 N 1.04
H 0.8578 0.1344 0.1583  1 N 1.04
H 0.8578 0.3656 0.1583  1 N 1.04
H 0.8655 0.7500 0.3241  1 N 1.04
H 0.9150 0.2500 0.2622  1 N 1.03
H 0.9861 0.7500 0.8477  1 N 1.05
W 0.2490 0.2500 0.9321  4 S 2.20-2.21
W 0.2510 0.7500 0.4321  4 S 2.20-2.21
W 0.7490 0.2500 0.5679  4 S 2.20-2.21
W 0.7510 0.7500 0.0679  4 S 2.20-2.21
S 0.0428 0.2500 0.8564  1 W 2.21, 1 H 2.41
S 0.1353 0.5027 0.3835  1 W 2.20, 1 H 2.42
S 0.1353 0.9973 0.3835  1 W 2.20, 1 H 2.42
S 0.2308 0.2500 0.1027  1 H 2.18, 1 W 2.21
S 0.2692 0.7500 0.6027  1 H 2.18, 1 W 2.21
S 0.3647 0.0027 0.8835  1 W 2.20, 1 H 2.42
S 0.3647 0.4973 0.8835  1 W 2.20, 1 H 2.42
S 0.4572 0.7500 0.3564  1 W 2.21, 1 H 2.41
S 0.5428 0.2500 0.6436  1 W 2.21, 1 H 2.41
S 0.6353 0.5027 0.1165  1 W 2.20, 1 H 2.42
S 0.6353 0.9973 0.1165  1 W 2.20, 1 H 2.42
S 0.7308 0.2500 0.3973  1 H 2.18, 1 W 2.21
S 0.7692 0.7500 0.8973  1 H 2.18, 1 W 2.21
S 0.8647 0.0027 0.6165  1 W 2.20, 1 H 2.42
S 0.8647 0.4973 0.6165  1 W 2.20, 1 H 2.42
S 0.9572 0.7500 0.1436  1 W 2.21, 1 H 2.41
N 0.0873 0.7500 0.8176  4 H 1.03-1.05
N 0.1886 0.2500 0.6063  4 H 1.04
N 0.3114 0.7500 0.1063  4 H 1.04
N 0.4127 0.2500 0.3176  4 H 1.03-1.05
N 0.5873 0.7500 0.6824  4 H 1.03-1.05
N 0.6886 0.2500 0.8937  4 H 1.04
N 0.8114 0.7500 0.3937  4 H 1.04
N 0.9127 0.2500 0.1824  4 H 1.03-1.05

No. 12
Material: HWS2N
Method: DFT, PBE-GGA
State: relaxed

Computed properties:
**Space-group type**: P4/mmm (123)
**ΔE to the lowest computed polymorph**: 0 meV/atom
**Fermi-level density of states**: 0.489 states/eV per atom
**Calculated density**: 5.0 Mg/m³

Unit cell a=4.7410 b=4.7410 c=3.8823 alpha=90.00 beta=90.00 gamma=90.00
With the nearest neighbours (Å) after each atom.
Sites, in units of the cell vectors:
H 0.0000 0.0000 0.0000  8 S 3.06, 4 N 3.35
W 0.5000 0.5000 0.5000  2 N 1.94
S 0.0000 0.5000 0.5000  2 W 2.37
S 0.5000 0.0000 0.5000  2 W 2.37
N 0.5000 0.5000 0.0000  2 W 1.94

No. 13
Material: YHS2N
Method: DFT, PBE-GGA
State: relaxed

Computed properties:
**Space-group type**: P4/mmm (123)
**ΔE to the lowest computed polymorph**: 557 meV/atom
**Fermi-level density of states**: 0.766 states/eV per atom
**Calculated density**: 2.0 Mg/m³

Unit cell a=5.3894 b=5.3894 c=4.7204 alpha=90.00 beta=90.00 gamma=90.00
With the nearest neighbours (Å) after each atom.
Sites, in units of the cell vectors:
Y 0.0000 0.0000 0.0000  2 N 2.36
H 0.5000 0.5000 0.5000  8 S 3.58, 4 N 3.81
S 0.0000 0.5000 0.0000  2 Y 2.69
S 0.5000 0.0000 0.0000  2 Y 2.69
N 0.0000 0.0000 0.5000  2 Y 2.36

No. 14
Material: YHSN2
Method: DFT, PBE-GGA
State: relaxed

Computed properties:
**Space-group type**: P4/mmm (123)
**ΔE to the lowest computed polymorph**: 0 meV/atom
**Fermi-level density of states**: 0.418 states/eV per atom
**Calculated density**: 4.6 Mg/m³

Unit cell a=4.0330 b=4.0330 c=3.2939 alpha=90.00 beta=90.00 gamma=90.00
With the nearest neighbours (Å) after each atom.
Sites, in units of the cell vectors:
Y 0.0000 0.0000 0.0000  8 N 2.60, 4 S 2.85
H 0.5000 0.5000 0.5000  2 S 1.65
S 0.5000 0.5000 0.0000  2 H 1.65
N 0.0000 0.5000 0.5000  2 H 2.02
N 0.5000 0.0000 0.5000  2 H 2.02

No. 15
Material: YH2SN
Method: DFT, PBE-GGA
State: relaxed

Computed properties:
**Space-group type**: P4/mmm (123)
**Fermi-level density of states**: 0.282 states/eV per atom
**Calculated density**: 4.0 Mg/m³
**E**: -4.73 eV/atom

Unit cell a=3.8086 b=3.8086 c=3.9249 alpha=90.00 beta=90.00 gamma=90.00
With the nearest neighbours (Å) after each atom.
Sites, in units of the cell vectors:
Y 0.0000 0.0000 0.0000  4 S 2.69, 8 H 2.73
H 0.0000 0.5000 0.5000  2 N 1.90
H 0.5000 0.0000 0.5000  2 N 1.90
S 0.5000 0.5000 0.0000  2 N 1.96
N 0.5000 0.5000 0.5000  4 H 1.90, 2 S 1.96

No. 16
Material: YHSN2
Method: DFT, PBE-GGA
State: relaxed

Computed properties:
**Space-group type**: P4/mmm (123)
**ΔE to the lowest computed polymorph**: 730 meV/atom
**Fermi-level density of states**: 1.061 states/eV per atom
**Calculated density**: 2.1 Mg/m³

Unit cell a=4.6968 b=4.6968 c=5.3912 alpha=90.00 beta=90.00 gamma=90.00
With the nearest neighbours (Å) after each atom.
Sites, in units of the cell vectors:
Y 0.0000 0.0000 0.0000  4 N 2.35
H 0.5000 0.5000 0.5000  4 S 3.32, 8 N 3.58
S 0.0000 0.0000 0.5000  2 Y 2.70
N 0.0000 0.5000 0.0000  2 Y 2.35
N 0.5000 0.0000 0.0000  2 Y 2.35

No. 17
Material: YHS2N
Method: DFT, PBE-GGA
State: relaxed

Computed properties:
**Space-group type**: P4/mmm (123)
**ΔE to the lowest computed polymorph**: 86 meV/atom
**Fermi-level density of states**: 0.556 states/eV per atom
**Calculated density**: 4.1 Mg/m³

Unit cell a=4.4550 b=4.4550 c=3.4298 alpha=90.00 beta=90.00 gamma=90.00
With the nearest neighbours (Å) after each atom.
Sites, in units of the cell vectors:
Y 0.0000 0.0000 0.0000  8 S 2.81
H 0.5000 0.5000 0.5000  2 N 1.71
S 0.0000 0.5000 0.5000  2 H 2.23
S 0.5000 0.0000 0.5000  2 H 2.23
N 0.5000 0.5000 0.0000  2 H 1.71

No. 18
Material: YHS2N
Method: DFT, PBE-GGA
State: relaxed

Computed properties:
**Space-group type**: P4/mmm (123)
**ΔE to the lowest computed polymorph**: 0 meV/atom
**Fermi-level density of states**: 0.335 states/eV per atom
**Calculated density**: 3.7 Mg/m³

Unit cell a=3.9994 b=3.9994 c=4.6941 alpha=90.00 beta=90.00 gamma=90.00
With the nearest neighbours (Å) after each atom.
Sites, in units of the cell vectors:
Y 0.0000 0.0000 0.0000  2 N 2.35
H 0.5000 0.5000 0.0000  4 Y 2.83, 8 S 3.08
S 0.0000 0.5000 0.5000  2 N 2.00
S 0.5000 0.0000 0.5000  2 N 2.00
N 0.0000 0.0000 0.5000  4 S 2.00

No. 19
Material: ZnH2SN
Method: DFT, PBE-GGA
State: relaxed

Computed properties:
**Space-group type**: P4/mmm (123)
**Fermi-level density of states**: 0.220 states/eV per atom
**Calculated density**: 3.3 Mg/m³
**E**: -3.51 eV/atom

Unit cell a=3.0972 b=3.0972 c=5.9313 alpha=90.00 beta=90.00 gamma=90.00
With the nearest neighbours (Å) after each atom.
Sites, in units of the cell vectors:
Zn 0.0000 0.0000 0.0000  4 N 2.19
H 0.0000 0.5000 0.5000  2 S 1.55
H 0.5000 0.0000 0.5000  2 S 1.55
S 0.0000 0.0000 0.5000  4 H 1.55
N 0.5000 0.5000 0.0000  4 Zn 2.19

No. 20
Material: ZnHS2N
Method: DFT, PBE-GGA
State: relaxed

Computed properties:
**Space-group type**: P4/mmm (123)
**ΔE to the lowest computed polymorph**: 445 meV/atom
**Fermi-level density of states**: 0.940 states/eV per atom
**Calculated density**: 2.7 Mg/m³

Unit cell a=4.8338 b=4.8338 c=3.8631 alpha=90.00 beta=90.00 gamma=90.00
With the nearest neighbours (Å) after each atom.
Sites, in units of the cell vectors:
Zn 0.0000 0.0000 0.0000  2 N 1.93
H 0.5000 0.5000 0.5000  8 S 3.09, 4 N 3.42
S 0.0000 0.5000 0.0000  2 Zn 2.42
S 0.5000 0.0000 0.0000  2 Zn 2.42
N 0.0000 0.0000 0.5000  2 Zn 1.93